Material: GaNiAs2O8
Method: DFT, PBE with a Hubbard U
State: optimized geometry

Calculated values
* energy: -5.516 eV per atom
* density of states at the Fermi level: 0.805 states/eV/atom
* total magnetization: 3.0 μB/f.u.

Lattice parameters (Å, degrees): 5.5974 5.5974 5.5974 108.35 108.35 111.74
Closest atoms and distances in Å follow each position.
Atoms (fractional coordinates):
O  0.7634  0.0676  0.6958  1 As 1.72
O  0.3718  0.0676  0.3042  1 As 1.72
O  0.9324  0.2366  0.3042  1 As 1.72
O  0.3105  0.1203  0.8097  1 As 1.72
Ga  0.0000  0.0000  0.0000  4 O 2.04
O  0.9324  0.6282  0.6958  1 As 1.72
O  0.8797  0.6895  0.1903  1 As 1.72
As  0.5000  0.5000  0.0000  4 O 1.72
Ni  0.2500  0.7500  0.5000  4 O 2.06
As  0.7500  0.2500  0.5000  4 O 1.72
O  0.4992  0.6895  0.8097  1 As 1.72
O  0.3105  0.5008  0.1903  1 As 1.72

Material: GaNi2AsO6
Method: DFT, PBE with a Hubbard U
State: optimized geometry

Calculated values
* energy: -5.217 eV per atom
* total magnetization: 3.9 μB/f.u.

Lattice parameters (Å, degrees): 4.7588 5.0194 5.0194 90.00 90.00 90.00
Closest atoms and distances in Å follow each position.
Atoms (fractional coordinates):
Ni  0.9553  0.0000  0.5000  4 O 2.05
O  0.7387  0.2436  0.2436  1 As 1.85, 1 Ga 2.02, 2 Ni 2.05
O  0.7387  0.7564  0.2436  1 As 1.85, 1 Ga 2.02, 2 Ni 2.05
Ni  0.9553  0.5000  0.0000  4 O 2.05
Ga  0.5542  0.5000  0.5000  1 O 1.78
O  0.2462  0.0000  0.0000  1 As 1.68
O  0.1810  0.5000  0.5000  1 Ga 1.78
As  0.6000  0.0000  0.0000  5 O 1.68-1.85
O  0.7387  0.2436  0.7564  1 As 1.85, 1 Ga 2.02, 2 Ni 2.05
O  0.7387  0.7564  0.7564  1 As 1.85, 1 Ga 2.02, 2 Ni 2.05

Material: GaNiAsO6
Method: DFT, PBE with a Hubbard U
State: optimized geometry

Calculated values
* energy: -5.471 eV per atom
* density of states at the Fermi level: 0.270 states/eV/atom
* total magnetization: 4.0 μB/f.u.

Lattice parameters (Å, degrees): 5.0261 5.0261 8.4903 90.00 90.00 120.00
Closest atoms and distances in Å follow each position.
Atoms (fractional coordinates):
O  0.0211  0.6626  0.3688  1 As 1.86, 1 Ga 2.00, 1 Ni 2.08
O  0.3374  0.9789  0.1312  1 As 1.86, 1 Ga 2.00, 1 Ni 2.08
O  0.3585  0.0211  0.6312  1 As 1.86, 1 Ga 2.00, 1 Ni 2.08
Ni  0.0000  0.0000  0.5000  6 O 2.08
O  0.9789  0.6415  0.8688  1 As 1.86, 1 Ga 2.00, 1 Ni 2.08
O  0.3585  0.3374  0.8688  1 As 1.86, 1 Ga 2.00, 1 Ni 2.08
Ga  0.6667  0.3333  0.2500  6 O 2.00
O  0.3374  0.3585  0.3688  1 As 1.86, 1 Ga 2.00, 1 Ni 2.08
Ga  0.3333  0.6667  0.7500  6 O 2.00
As  0.3333  0.6667  0.2500  6 O 1.86
O  0.6626  0.0211  0.8688  1 As 1.86, 1 Ga 2.00, 1 Ni 2.08
O  0.9789  0.3374  0.6312  1 As 1.86, 1 Ga 2.00, 1 Ni 2.08
O  0.6415  0.9789  0.3688  1 As 1.86, 1 Ga 2.00, 1 Ni 2.08
Ni  0.0000  0.0000  0.0000  6 O 2.08
As  0.6667  0.3333  0.7500  6 O 1.86
O  0.0211  0.3585  0.1312  1 As 1.86, 1 Ga 2.00, 1 Ni 2.08
O  0.6415  0.6626  0.1312  1 As 1.86, 1 Ga 2.00, 1 Ni 2.08
O  0.6626  0.6415  0.6312  1 As 1.86, 1 Ga 2.00, 1 Ni 2.08

Material: Ga2NiAsO6
Method: DFT, PBE with a Hubbard U
State: optimized geometry

Calculated values
* energy: -5.709 eV per atom
* density of states at the Fermi level: 0.348 states/eV/atom
* total magnetization: 2.1 μB/f.u.

Lattice parameters (Å, degrees): 5.2862 6.6194 6.6194 84.86 82.84 82.84
Closest atoms and distances in Å follow each position.
Atoms (fractional coordinates):
O  0.5928  0.1340  0.6439  1 Ga 1.85, 1 As 1.95, 1 Ni 2.04
O  0.1087  0.2756  0.4411  2 Ga 1.88
O  0.1324  0.9907  0.7923  1 Ga 1.91, 1 As 1.95, 2 Ni 2.12-2.13
Ni  0.7500  0.0878  0.9122  6 O 2.04-2.13
O  0.6087  0.4411  0.2756  2 Ga 1.88
Ga  0.2160  0.7905  0.5976  4 O 1.85-1.91
O  0.8676  0.0093  0.2077  1 Ga 1.91, 1 As 1.95, 2 Ni 2.12-2.13
Ga  0.7840  0.2095  0.4024  4 O 1.85-1.91
O  0.6324  0.7923  0.9907  1 Ga 1.91, 1 As 1.95, 2 Ni 2.12-2.13
Ga  0.7160  0.5976  0.7905  4 O 1.85-1.91
O  0.8913  0.7244  0.5589  2 Ga 1.88
O  0.3676  0.2077  0.0093  1 Ga 1.91, 1 As 1.95, 2 Ni 2.12-2.13
O  0.9072  0.3561  0.8660  1 Ga 1.85, 1 As 1.95, 1 Ni 2.04
As  0.7500  0.7394  0.2606  4 O 1.95
As  0.2500  0.2606  0.7394  4 O 1.95
O  0.4072  0.8660  0.3561  1 Ga 1.85, 1 As 1.95, 1 Ni 2.04
Ni  0.2500  0.9122  0.0878  6 O 2.04-2.13
O  0.3913  0.5589  0.7244  2 Ga 1.88
Ga  0.2840  0.4024  0.2095  4 O 1.85-1.91
O  0.0928  0.6439  0.1340  1 Ga 1.85, 1 As 1.95, 1 Ni 2.04